No. 1
NbReTeN2 | GGA-PBE | optimized geometry

Properties
Space group   P4/mmm
Total magnetic moment   2.117 μB per cell
Polymorph energy (0 for the lowest one)   0.00 eV per formula unit
Density of states at the Fermi level   4.69 states/eV/cell
VASP energy   -7.6370 eV per atom

Cell lengths 3.9210, 3.9210, 5.6823 Å; angles 90.00, 90.00, 90.00 degrees
Closest atoms and distances in Å follow each position.
Positions (direct):
Re 0.0000 0.0000 0.0000  4 N 1.96
Nb 0.5000 0.5000 0.5000  4 Te 2.77
Te 0.0000 0.0000 0.5000  4 Nb 2.77, 2 Re 2.84
N 0.0000 0.5000 0.0000  2 Re 1.96
N 0.5000 0.0000 0.0000  2 Re 1.96


No. 2
NbReTe2N | GGA-PBE | optimized geometry

Properties
Space group   P4/mmm
Total magnetic moment   2.578 μB per cell
Polymorph energy (0 for the lowest one)   0.00 eV per formula unit
Density of states at the Fermi level   6.05 states/eV/cell
VASP energy   -6.8086 eV per atom

Cell lengths 5.4163, 5.4163, 3.7155 Å; angles 90.00, 90.00, 90.00 degrees
Closest atoms and distances in Å follow each position.
Positions (direct):
Re 0.0000 0.0000 0.0000  2 N 1.86
Nb 0.5000 0.5000 0.5000  8 Te 3.28
Te 0.0000 0.5000 0.0000  2 Re 2.71
Te 0.5000 0.0000 0.0000  2 Re 2.71
N 0.0000 0.0000 0.5000  2 Re 1.86


No. 3
NbReTeN2 | GGA-PBE | optimized geometry

Properties
Space group   P4/mmm
Total magnetic moment   4.108 μB per cell
Polymorph energy (0 for the lowest one)   1.71 eV per formula unit
Density of states at the Fermi level   5.02 states/eV/cell
VASP energy   -7.2958 eV per atom

Cell lengths 4.0238, 4.0238, 5.9367 Å; angles 90.00, 90.00, 90.00 degrees
Closest atoms and distances in Å follow each position.
Positions (direct):
Re 0.5000 0.5000 0.5000  4 Te 2.85
Nb 0.0000 0.0000 0.0000  4 N 2.01
Te 0.0000 0.0000 0.5000  4 Re 2.85, 2 Nb 2.97
N 0.0000 0.5000 0.0000  2 Nb 2.01
N 0.5000 0.0000 0.0000  2 Nb 2.01